Entry 1:
The following is a DFT calculation (PBE) of an optimized crystal structure of Pm3NdSm2Te6.

Properties
total magnetic moment: 0.00 μB/f.u.
ΔE_f (raw): -1.402 eV/atom
space group: C2/m (12)

Cell: 9.970 9.970 8.970 Å, 102.82 102.82 25.76°
Element x y z (fractional)
Pm 0.000 0.000 0.000
Pm 0.335 0.335 0.667
Pm 0.665 0.665 0.333
Nd 0.000 0.000 0.500
Sm 0.334 0.334 0.168
Sm 0.666 0.666 0.832
Te 0.167 0.167 0.082
Te 0.168 0.168 0.585
Te 0.499 0.499 0.248
Te 0.501 0.501 0.752
Te 0.832 0.832 0.415
Te 0.833 0.833 0.918

=====

Entry 2:
The following is a DFT calculation (PBE) of an optimized crystal structure of PmNd3Sm2Te6.

Properties
total magnetic moment: 0.00 μB/f.u.
ΔE_f (raw): -1.408 eV/atom
space group: C2/m (12)

Cell: 9.998 9.998 8.997 Å, 102.92 102.92 25.74°
Element x y z (fractional)
Pm 0.000 0.000 0.000
Nd 0.000 0.000 0.500
Nd 0.334 0.334 0.167
Nd 0.666 0.666 0.833
Sm 0.334 0.334 0.668
Sm 0.666 0.666 0.332
Te 0.166 0.166 0.086
Te 0.168 0.168 0.580
Te 0.499 0.499 0.751
Te 0.501 0.501 0.249
Te 0.832 0.832 0.420
Te 0.834 0.834 0.914

=====

Entry 3:
The following is a DFT calculation (PBE) of an optimized crystal structure of Pm3NdSm3Te8.

Properties
total magnetic moment: 0.00 μB/f.u.
ΔE_f (raw): -1.446 eV/atom
space group: R-3m (166)

Cell: 8.881 8.881 8.881 Å, 59.99 59.99 59.99°
Element x y z (fractional)
Pm 0.000 0.500 0.500
Pm 0.500 0.000 0.500
Pm 0.500 0.500 0.000
Nd 0.500 0.500 0.500
Sm 0.000 0.000 0.500
Sm 0.000 0.500 0.000
Sm 0.500 0.000 0.000
Te 0.241 0.757 0.757
Te 0.243 0.243 0.759
Te 0.243 0.759 0.243
Te 0.249 0.249 0.249
Te 0.751 0.751 0.751
Te 0.757 0.241 0.757
Te 0.757 0.757 0.241
Te 0.759 0.243 0.243

=====

Entry 4:
The following is a DFT calculation (PBE) of an optimized crystal structure of Pm5NdSm2Th.

Properties
electronic total energy: -4.887 eV/atom
total magnetic moment: 0.00 μB/f.u.
space group: Cmc2_1 (36)

Cell: 10.646 10.646 10.601 Å, 90.00 90.00 148.67°
Element x y z (fractional)
Pm 0.016 0.984 0.500
Pm 0.276 0.724 0.793
Pm 0.295 0.705 0.183
Pm 0.388 0.612 0.504
Pm 0.479 0.521 0.218
Pm 0.521 0.479 0.718
Pm 0.612 0.388 0.004
Pm 0.705 0.295 0.683
Pm 0.724 0.276 0.293
Pm 0.984 0.016 0.000
Nd 0.410 0.590 0.927
Nd 0.590 0.410 0.427
Sm 0.115 0.885 0.209
Sm 0.116 0.884 0.798
Sm 0.884 0.116 0.298
Sm 0.885 0.115 0.709
Th 0.200 0.800 0.491
Th 0.800 0.200 0.991

=====

Entry 5:
The following is a DFT calculation (PBE) of an optimized crystal structure of Pm4Nd2SmTh.

Properties
electronic total energy: -5.050 eV/atom
total magnetic moment: 0.00 μB/f.u.
space group: P2/m (10)

Cell: 5.156 5.161 10.305 Å, 90.00 90.05 90.00°
Element x y z (fractional)
Pm 0.000 0.000 0.245
Pm 0.000 0.000 0.755
Pm 0.500 0.500 0.246
Pm 0.500 0.500 0.754
Nd 0.000 0.500 0.500
Nd 0.500 0.000 0.000
Sm 0.500 0.000 0.500
Th 0.000 0.500 0.000

=====

Entry 6:
The following is a DFT calculation (PBE) of an optimized crystal structure of Pm2Nd6SmTh.

Properties
electronic total energy: -4.883 eV/atom
total magnetic moment: 0.00 μB/f.u.
space group: C2/c (15)

Cell: 8.890 8.890 10.068 Å, 95.20 95.20 116.97°
Element x y z (fractional)
Pm 0.192 0.283 0.046
Pm 0.283 0.192 0.546
Pm 0.717 0.808 0.454
Pm 0.808 0.717 0.954
Nd 0.016 0.579 0.187
Nd 0.110 0.747 0.556
Nd 0.253 0.890 0.944
Nd 0.300 0.505 0.379
Nd 0.421 0.984 0.313
Nd 0.495 0.700 0.121
Nd 0.505 0.300 0.879
Nd 0.579 0.016 0.687
Nd 0.700 0.495 0.621
Nd 0.747 0.110 0.056
Nd 0.890 0.253 0.444
Nd 0.984 0.421 0.813
Sm 0.405 0.595 0.750
Sm 0.595 0.405 0.250
Th 0.019 0.981 0.250
Th 0.981 0.019 0.750

=====

Entry 7:
The following is a DFT calculation (PBE) of an optimized crystal structure of PmNdSmTh2.

Properties
electronic total energy: -5.442 eV/atom
total magnetic moment: 0.00 μB/f.u.
space group: Cmcm (63)

Cell: 8.606 8.606 6.737 Å, 90.00 90.00 133.90°
Element x y z (fractional)
Pm 0.151 0.849 0.750
Pm 0.849 0.151 0.250
Nd 0.254 0.746 0.250
Nd 0.746 0.254 0.750
Sm 0.348 0.652 0.750
Sm 0.652 0.348 0.250
Th 0.251 0.251 0.000
Th 0.251 0.251 0.500
Th 0.749 0.749 0.000
Th 0.749 0.749 0.500

=====

Entry 8:
The following is a DFT calculation (PBE) of an optimized crystal structure of PmNd4Sm2Th.

Properties
electronic total energy: -5.053 eV/atom
total magnetic moment: 0.00 μB/f.u.
space group: P2/m (10)

Cell: 6.313 3.650 12.144 Å, 90.00 100.06 90.00°
Element x y z (fractional)
Pm 0.000 0.000 0.000
Nd 0.243 0.000 0.746
Nd 0.248 0.500 0.252
Nd 0.752 0.500 0.748
Nd 0.757 0.000 0.254
Sm 0.500 0.000 0.500
Sm 0.500 0.500 0.000
Th 0.000 0.500 0.500

=====

Entry 9:
The following is a DFT calculation (PBE) of an optimized crystal structure of PmNd5Sm2Th.

Properties
electronic total energy: -4.897 eV/atom
total magnetic moment: 0.00 μB/f.u.
space group: Cmc2_1 (36)

Cell: 10.709 10.709 10.633 Å, 90.00 90.00 148.77°
Element x y z (fractional)
Pm 0.091 0.909 0.500
Pm 0.909 0.091 0.000
Nd 0.021 0.979 0.791
Nd 0.112 0.888 0.075
Nd 0.206 0.794 0.753
Nd 0.224 0.776 0.364
Nd 0.484 0.516 0.070
Nd 0.516 0.484 0.570
Nd 0.776 0.224 0.864
Nd 0.794 0.206 0.253
Nd 0.888 0.112 0.575
Nd 0.979 0.021 0.291
Sm 0.384 0.616 0.367
Sm 0.385 0.615 0.781
Sm 0.615 0.385 0.281
Sm 0.616 0.384 0.867
Th 0.301 0.699 0.061
Th 0.699 0.301 0.561

=====

Entry 10:
The following is a DFT calculation (PBE) of an optimized crystal structure of PmNdSm3Th.

Properties
electronic total energy: -4.977 eV/atom
total magnetic moment: 0.00 μB/f.u.
space group: C2/m (12)

Cell: 10.592 10.592 7.028 Å, 91.02 91.02 31.22°
Element x y z (fractional)
Pm 0.148 0.148 0.027
Pm 0.852 0.852 0.973
Nd 0.145 0.145 0.457
Nd 0.855 0.855 0.543
Sm 0.021 0.021 0.749
Sm 0.280 0.280 0.748
Sm 0.344 0.344 0.250
Sm 0.656 0.656 0.750
Sm 0.720 0.720 0.252
Sm 0.979 0.979 0.251
Th 0.444 0.444 0.771
Th 0.556 0.556 0.229

=====

Entry 11:
The following is a DFT calculation (PBE) of an optimized crystal structure of Pm4NdSm2Th.

Properties
electronic total energy: -5.050 eV/atom
total magnetic moment: 0.00 μB/f.u.
space group: P4/mmm (123)

Cell: 5.150 5.150 10.300 Å, 90.00 90.00 90.00°
Element x y z (fractional)
Pm 0.000 0.500 0.245
Pm 0.000 0.500 0.755
Pm 0.500 0.000 0.245
Pm 0.500 0.000 0.755
Nd 0.000 0.000 0.500
Sm 0.000 0.000 0.000
Sm 0.500 0.500 0.500
Th 0.500 0.500 0.000

=====

Entry 12:
The following is a DFT calculation (PBE) of an optimized crystal structure of Pm6NdSm3Th2.

Properties
electronic total energy: -5.154 eV/atom
total magnetic moment: 0.00 μB/f.u.
space group: C2/m (12)

Cell: 6.297 6.297 12.060 Å, 95.01 95.01 119.91°
Element x y z (fractional)
Pm 0.079 0.418 0.754
Pm 0.244 0.244 0.247
Pm 0.418 0.079 0.754
Pm 0.582 0.921 0.246
Pm 0.756 0.756 0.753
Pm 0.921 0.582 0.246
Nd 0.500 0.500 0.000
Sm 0.000 0.000 0.500
Sm 0.333 0.667 0.500
Sm 0.667 0.333 0.500
Th 0.167 0.833 0.000
Th 0.833 0.167 0.000